[1]
# La6Mg15Cd8 PBE relaxed
# DFT total energy = -2.29 eV/atom
# M_tot = 0.00 μB/cell
# energy relative to the elements = -0.191 eV per atom
data_La6Mg15Cd8
_space_group_name_H-M_alt 'F m -3 m'
_space_group_IT_number 225
_space_group_name_Hall '-F 4 2 3'
_cell_length_a 14.445
_cell_length_b 14.445
_cell_length_c 14.445
_cell_angle_alpha 90.00
_cell_angle_beta 90.00
_cell_angle_gamma 90.00
loop_
_atom_site_label
_atom_site_type_symbol
_atom_site_fract_x
_atom_site_fract_y
_atom_site_fract_z
La1 La 0.000 0.000 0.216
Mg1 Mg 0.000 0.000 0.500
Mg2 Mg 0.000 0.250 0.250
Mg3 Mg 0.170 0.170 0.170
Cd1 Cd 0.124 0.124 0.376

[2]
# TbThSnPb PBE relaxed
# DFT total energy = -5.30 eV/atom
# M_tot = 0.00 μB/cell
# energy relative to the elements = -0.362 eV per atom
data_TbThSnPb
_space_group_name_H-M_alt 'F -4 3 m'
_space_group_IT_number 216
_space_group_name_Hall 'F -4 2 3'
_cell_length_a 7.743
_cell_length_b 7.743
_cell_length_c 7.743
_cell_angle_alpha 90.00
_cell_angle_beta 90.00
_cell_angle_gamma 90.00
loop_
_atom_site_label
_atom_site_type_symbol
_atom_site_fract_x
_atom_site_fract_y
_atom_site_fract_z
Tb1 Tb 0.000 0.000 0.000
Th1 Th 0.000 0.000 0.500
Sn1 Sn 0.250 0.250 0.750
Pb1 Pb 0.250 0.250 0.250

[3]
# AlTcOs PBE relaxed
# DFT total energy = -8.77 eV/atom
# energy above the lowest structure with this stoichiometry = 0.000 eV per formula unit
# M_tot = 0.00 μB/cell
# energy relative to the elements = -0.329 eV per atom
data_AlTcOs
_space_group_name_H-M_alt 'I 4 m m'
_space_group_IT_number 107
_space_group_name_Hall 'I 4 -2'
_cell_length_a 2.909
_cell_length_b 2.909
_cell_length_c 9.988
_cell_angle_alpha 90.00
_cell_angle_beta 90.00
_cell_angle_gamma 90.00
loop_
_atom_site_label
_atom_site_type_symbol
_atom_site_fract_x
_atom_site_fract_y
_atom_site_fract_z
Al1 Al 0.000 0.000 0.000
Tc1 Tc 0.000 0.000 0.331
Os1 Os 0.000 0.000 0.664

[4]
# Cu3Pt2 PBE relaxed
# DFT total energy = -5.00 eV/atom
# energy above the lowest structure with this stoichiometry = 0.163 eV per formula unit
# M_tot = 0.00 μB/cell
# energy relative to the elements = -0.128 eV per atom
data_Cu3Pt2
_space_group_name_H-M_alt 'C 1 2/m 1'
_space_group_IT_number 12
_cell_length_a 8.353
_cell_length_b 3.832
_cell_length_c 5.919
_cell_angle_alpha 90.00
_cell_angle_beta 134.10
_cell_angle_gamma 90.00
loop_
_space_group_symop_operation_xyz
'x,y,z'
'-x,-y,-z'
'-x,y,-z'
'x,-y,z'
'x+1/2,y+1/2,z'
'-x+1/2,-y+1/2,-z'
'-x+1/2,y+1/2,-z'
'x+1/2,-y+1/2,z'
loop_
_atom_site_label
_atom_site_type_symbol
_atom_site_fract_x
_atom_site_fract_y
_atom_site_fract_z
Cu1 Cu 0.000 0.000 0.000
Cu2 Cu 0.199 0.000 0.597
Pt1 Pt 0.094 0.500 0.798

[5]
# HoGa3Cu8 PBE relaxed
# DFT total energy = -3.99 eV/atom
# M_tot = 0.00 μB/cell
# energy relative to the elements = -0.123 eV per atom
data_HoGa3Cu8
_space_group_name_H-M_alt 'P 3 m 1'
_space_group_IT_number 156
_cell_length_a 4.9339
_cell_length_b 4.9339
_cell_length_c 8.2017
_cell_angle_alpha 90.00
_cell_angle_beta 90.00
_cell_angle_gamma 120.00
loop_
_space_group_symop_operation_xyz
'x,y,z'
'-y,x-y,z'
'-x+y,-x,z'
'-y,-x,z'
'-x+y,y,z'
'x,x-y,z'
loop_
_atom_site_label
_atom_site_type_symbol
_atom_site_fract_x
_atom_site_fract_y
_atom_site_fract_z
Ho1 Ho 0.0000 0.0000 0.0000
Ga1 Ga 0.0000 0.0000 0.3780
Ga2 Ga 0.6667 0.3333 0.4909
Ga3 Ga 0.6667 0.3333 0.8511
Cu1 Cu 0.1644 0.3288 0.6760
Cu2 Cu 0.3333 0.6667 0.4328
Cu3 Cu 0.3333 0.6667 0.9272
Cu4 Cu 0.5023 0.0046 0.1913

[6]
# Tb2Pr3Ho6In PBE relaxed
# DFT total energy = -4.52 eV/atom
# M_tot = 0.01 μB/cell
# energy relative to the elements = -0.040 eV per atom
data_Tb2Pr3Ho6In
_space_group_name_H-M_alt 'C 1 2/m 1'
_space_group_IT_number 12
_cell_length_a 6.146
_cell_length_b 10.644
_cell_length_c 11.709
_cell_angle_alpha 90.00
_cell_angle_beta 100.07
_cell_angle_gamma 90.00
loop_
_space_group_symop_operation_xyz
'x,y,z'
'-x,-y,-z'
'-x,y,-z'
'x,-y,z'
'x+1/2,y+1/2,z'
'-x+1/2,-y+1/2,-z'
'-x+1/2,y+1/2,-z'
'x+1/2,-y+1/2,z'
loop_
_atom_site_label
_atom_site_type_symbol
_atom_site_fract_x
_atom_site_fract_y
_atom_site_fract_z
Tb1 Tb 0.000 0.166 0.000
Pr1 Pr 0.000 0.000 0.500
Pr2 Pr 0.000 0.333 0.500
Ho1 Ho 0.244 0.336 0.243
Ho2 Ho 0.247 0.500 0.757
In1 In 0.000 0.500 0.000

[7]
# LaPI PBE relaxed
# DFT total energy = -5.32 eV/atom
# energy above the lowest structure with this stoichiometry = 0.000 eV per formula unit
# M_tot = 0.00 μB/cell
data_LaPI
_space_group_name_H-M_alt 'C 1 2/m 1'
_space_group_IT_number 12
_cell_length_a 7.870
_cell_length_b 4.987
_cell_length_c 12.331
_cell_angle_alpha 90.00
_cell_angle_beta 107.99
_cell_angle_gamma 90.00
loop_
_space_group_symop_operation_xyz
'x,y,z'
'-x,-y,-z'
'-x,y,-z'
'x,-y,z'
'x+1/2,y+1/2,z'
'-x+1/2,-y+1/2,-z'
'-x+1/2,y+1/2,-z'
'x+1/2,-y+1/2,z'
loop_
_atom_site_label
_atom_site_type_symbol
_atom_site_fract_x
_atom_site_fract_y
_atom_site_fract_z
La1 La 0.166 0.000 0.343
P1 P 0.058 0.500 0.429
I1 I 0.237 0.500 0.174

[8]
# CsS2NF PBE relaxed
# DFT total energy = -2.03 eV/atom
# M_tot = 5.90 μB/cell
data_CsS2NF
_space_group_name_H-M_alt 'P 4/m m m'
_space_group_IT_number 123
_space_group_name_Hall '-P 4 2'
_cell_length_a 5.697
_cell_length_b 5.697
_cell_length_c 5.013
_cell_angle_alpha 90.00
_cell_angle_beta 90.00
_cell_angle_gamma 90.00
loop_
_atom_site_label
_atom_site_type_symbol
_atom_site_fract_x
_atom_site_fract_y
_atom_site_fract_z
Cs1 Cs 0.000 0.000 0.000
S1 S 0.000 0.500 0.000
N1 N 0.000 0.000 0.500
F1 F 0.500 0.500 0.500

> What is the M_tot in the second record?

0.00 μB/cell

> Look up the M_tot of the fifth one.

0.00 μB/cell